1.
First-principles (PBE-GGA) data for CuSbPt14 after structural relaxation, as listed in Alexandria via LeMat-Bulk.

```
CuSbPt14
1.0
9.6122 0.0000 0.0000
0.0000 2.7707 4.8078
0.0000 -2.7707 4.8078
Cu Sb Pt
1 1 14
Cartesian
0.0000 0.0000 0.0000
0.0000 0.0000 4.8080
0.0000 1.3849 7.2105
0.0000 -1.3849 7.2105
2.3453 -1.3872 4.7933
2.3453 1.3872 4.7933
2.4097 0.0000 2.3646
2.4114 0.0000 7.2231
4.8061 0.0000 4.7918
4.8061 -1.3854 7.1955
4.8061 1.3854 7.1955
4.8061 0.0000 9.5999
7.2025 0.0000 2.3646
7.2008 0.0000 7.2231
7.2669 -1.3872 4.7933
7.2669 1.3872 4.7933
```

Summary:
Size of the total moment   0.00 μB/f.u.
Fermi-level density of states   1.11 states/eV per atom
Energy relative to the elements, uncorrected   -1.1 eV/f.u.
Total DFT energy (no corrections)   -93.887 eV per cell

=====

2.
First-principles (PBE-GGA) data for SmTmAgHg after structural relaxation, as listed in Alexandria via LeMat-Bulk.

```
SmTmAgHg
1.0
0.0000 3.6936 3.6936
3.6936 0.0000 3.6936
3.6936 3.6936 0.0000
Sm Tm Ag Hg
1 1 1 1
Cartesian
0.0000 0.0000 0.0000
3.6936 3.6936 3.6936
5.5404 5.5404 5.5404
1.8468 1.8468 1.8468
```

Summary:
Size of the total moment   0.00 μB/f.u.
Fermi-level density of states   0.94 states/eV per atom
Total DFT energy (no corrections)   -13.897 eV per cell
Energy of formation from the pure elements   -0.39 eV per atom

=====

3.
First-principles (PBE-GGA) data for Tb3AsS6 after structural relaxation, as listed in Alexandria via LeMat-Bulk.

```
Tb3AsS6
1.0
5.3153 -6.6440 0.0000
5.3153 6.6440 0.0000
0.0000 0.0000 6.6907
Tb As S
6 2 12
Cartesian
5.3153 5.3458 3.3453
3.3719 1.3297 3.9646
3.3719 -1.3297 0.6192
7.2587 1.3297 3.9646
7.2587 -1.3297 0.6192
5.3153 -5.3458 0.0000
5.3153 2.3717 0.7768
5.3153 -2.3717 4.1221
3.6144 3.4492 1.9405
1.7473 0.3673 1.9725
1.7473 -0.3673 5.3178
5.3153 3.0774 5.0088
7.0161 3.4492 1.9405
5.3153 0.1889 2.3405
5.3153 -0.1889 5.6859
3.6144 -3.4492 5.2858
5.3153 -3.0774 1.6635
8.8832 0.3673 1.9725
8.8832 -0.3673 5.3178
7.0161 -3.4492 5.2858
```

Summary:
Size of the total moment   0.00 μB/f.u.
Fermi-level density of states   0.00 states/eV per atom
Energy relative to the elements, uncorrected   -15.5 eV/f.u.
Total DFT energy (no corrections)   -117.643 eV per cell

=====

4.
First-principles (PBE-GGA) data for CrAg2W after structural relaxation, as listed in Alexandria via LeMat-Bulk.

```
CrAg2W
1.0
-1.5077 2.3975 4.5479
1.5077 -2.3975 4.5479
1.5077 2.3975 -4.5479
Cr Ag W
1 2 1
Cartesian
0.0000 0.0000 0.0000
1.5077 0.0000 2.3359
0.0000 0.0000 4.7956
0.0000 2.3975 2.7746
```

Summary:
Size of the total moment   0.59 μB/f.u.
Fermi-level density of states   0.68 states/eV per atom
Total DFT energy (no corrections)   -25.582 eV per cell
Distance to the lowest polymorph of the same formula   0.291 eV per atom
Energy of formation from the pure elements   0.67 eV per atom

=====

5.
First-principles (PBE-GGA) data for LaPrSnO after structural relaxation, as listed in Alexandria via LeMat-Bulk.

```
LaPrSnO
1.0
-1.9184 1.9273 7.1768
1.9184 -1.9273 7.1768
1.9184 1.9273 -7.1768
La Pr Sn O
1 1 1 1
Cartesian
0.0000 0.0000 0.0000
0.0000 0.0000 4.3726
0.0000 0.0000 9.4092
1.9184 0.0000 5.8148
```

Summary:
Size of the total moment   0.87 μB/f.u.
Fermi-level density of states   0.49 states/eV per atom
Energy relative to the elements, uncorrected   -7.0 eV/f.u.
Total DFT energy (no corrections)   -25.717 eV per cell

=====

6.
First-principles (PBE-GGA) data for CaTa2Co after structural relaxation, as listed in Alexandria via LeMat-Bulk.

```
CaTa2Co
1.0
2.7091 -5.1477 0.0000
2.7091 5.1477 0.0000
-1.0108 0.0000 2.6540
Ca Ta Co
1 2 1
Cartesian
0.0000 0.0000 0.0000
0.8492 2.5738 1.3270
0.8492 -2.5738 1.3270
2.7091 0.0000 0.0000
```

Summary:
Size of the total moment   0.92 μB/f.u.
Fermi-level density of states   1.09 states/eV per atom
Total DFT energy (no corrections)   -30.208 eV per cell
Distance to the lowest polymorph of the same formula   0.434 eV per atom
Energy of formation from the pure elements   0.65 eV per atom

=====

7.
First-principles (PBE-GGA) data for ZrMnAl2 after structural relaxation, as listed in Alexandria via LeMat-Bulk.

```
ZrMnAl2
1.0
-2.0026 2.0026 4.2405
2.0026 -2.0026 4.2405
2.0026 2.0026 -4.2405
Zr Mn Al
1 1 2
Cartesian
0.0000 0.0000 0.0000
0.0000 2.0026 2.1203
2.0026 0.0000 2.1203
0.0000 0.0000 4.2405
```

Summary:
Size of the total moment   2.66 μB/f.u.
Fermi-level density of states   0.62 states/eV per atom
Total DFT energy (no corrections)   -26.093 eV per cell
Energy of formation from the pure elements   -0.22 eV per atom

=====

8.
First-principles (PBE-GGA) data for Pm3Ho2Tl3 after structural relaxation, as listed in Alexandria via LeMat-Bulk.

```
Pm3Ho2Tl3
1.0
-2.2122 2.5282 10.5640
2.2122 -2.5282 10.5640
2.2122 2.5282 -10.5640
Pm Ho Tl
3 2 3
Cartesian
0.0000 0.0000 0.0000
2.2122 0.0000 8.0269
0.0000 2.5282 2.5370
0.0000 0.0000 5.0081
0.0000 0.0000 16.1198
2.2122 0.0000 2.7415
0.0000 0.0000 10.5640
0.0000 2.5282 7.8224
```

Summary:
Size of the total moment   0.45 μB/f.u.
Fermi-level density of states   1.04 states/eV per atom
Total DFT energy (no corrections)   -32.647 eV per cell
Energy of formation from the pure elements   -0.27 eV per atom

=====

9.
First-principles (PBE-GGA) data for LaSb2Os after structural relaxation, as listed in Alexandria via LeMat-Bulk.

```
LaSb2Os
1.0
2.2007 1.2706 6.0850
-2.2007 1.2706 6.0850
0.0000 -2.5412 6.0850
La Sb Os
1 2 1
Cartesian
0.0000 0.0000 0.0000
0.0000 0.0000 3.9290
0.0000 0.0000 7.9582
0.0000 0.0000 14.9065
```

Summary:
Size of the total moment   0.00 μB/f.u.
Fermi-level density of states   0.43 states/eV per atom
Energy relative to the elements, uncorrected   -1.6 eV/f.u.
Total DFT energy (no corrections)   -26.036 eV per cell

=====

10.
First-principles (PBE-GGA) data for Nd2YHo after structural relaxation, as listed in Alexandria via LeMat-Bulk.

```
Nd2YHo
1.0
5.8015 0.0000 0.0000
0.0000 7.3698 0.0000
0.0000 0.0000 6.3426
Nd Y Ho
4 2 2
Cartesian
1.4504 0.0013 1.0661
1.4504 3.6836 1.0661
4.3511 7.3685 5.2765
4.3511 3.6862 5.2765
1.4504 1.8424 4.2054
4.3511 5.5273 2.1372
1.4504 5.5273 4.2261
4.3511 1.8424 2.1165
```

Summary:
Size of the total moment   0.00 μB/f.u.
Fermi-level density of states   1.81 states/eV per atom
Total DFT energy (no corrections)   -40.977 eV per cell
Distance to the lowest polymorph of the same formula   0.011 eV per atom
Energy of formation from the pure elements   0.02 eV per atom

=====

11.
First-principles (PBE-GGA) data for CaPPt after structural relaxation, as listed in Alexandria via LeMat-Bulk.

```
CaPPt
1.0
-1.9617 1.9704 4.0847
1.9617 -1.9704 4.0847
1.9617 1.9704 -4.0847
Ca P Pt
1 1 1
Cartesian
0.0000 0.0000 0.0000
0.0000 0.0000 2.8123
0.0000 0.0000 5.0866
```

Summary:
Size of the total moment   0.00 μB/f.u.
Fermi-level density of states   0.56 states/eV per atom
Total DFT energy (no corrections)   -14.838 eV per cell
Energy of formation from the pure elements   -0.46 eV per atom

=====

12.
First-principles (PBE-GGA) data for MgAlSb2 after structural relaxation, as listed in Alexandria via LeMat-Bulk.

```
MgAlSb2
1.0
4.1125 0.0000 0.0000
0.0000 4.1125 0.0000
0.0000 0.0000 5.9072
Mg Al Sb
1 1 2
Cartesian
0.0000 0.0000 0.0000
2.0563 2.0563 3.1236
0.0000 0.0000 2.9686
2.0563 2.0563 0.1395
```

Summary:
Size of the total moment   0.00 μB/f.u.
Fermi-level density of states   0.74 states/eV per atom
Energy relative to the elements, uncorrected   -0.1 eV/f.u.
Total DFT energy (no corrections)   -13.727 eV per cell
Distance to the lowest polymorph of the same formula   0.034 eV per atom

=====

13.
First-principles (PBE-GGA) data for PbSeBr2Cl after structural relaxation, as listed in Alexandria via LeMat-Bulk.

```
PbSeBr2Cl
1.0
5.6592 0.0000 0.0000
0.0000 5.6592 0.0000
0.0000 0.0000 6.3209
Pb Se Br Cl
1 1 2 1
Cartesian
0.0000 0.0000 0.0000
0.0000 0.0000 3.1605
0.0000 2.8296 0.0000
2.8296 0.0000 0.0000
2.8296 2.8296 3.1605
```

Summary:
Size of the total moment   2.52 μB/f.u.
Fermi-level density of states   1.11 states/eV per atom
Energy relative to the elements, uncorrected   0.6 eV/f.u.
Total DFT energy (no corrections)   -11.762 eV per cell
Distance to the lowest polymorph of the same formula   0.000 eV per atom

=====

14.
First-principles (PBE-GGA) data for PmYMo4 after structural relaxation, as listed in Alexandria via LeMat-Bulk.

```
PmYMo4
1.0
0.0000 3.9253 3.9253
3.9253 0.0000 3.9253
3.9253 3.9253 0.0000
Pm Y Mo
1 1 4
Cartesian
0.0000 0.0000 0.0000
1.9627 1.9627 1.9627
4.9088 2.9419 2.9419
2.9419 4.9088 2.9419
2.9419 2.9419 4.9088
4.9088 4.9088 4.9088
```

Summary:
Size of the total moment   0.00 μB/f.u.
Fermi-level density of states   1.41 states/eV per atom
Total DFT energy (no corrections)   -53.546 eV per cell
Energy of formation from the pure elements   0.17 eV per atom

=====

15.
First-principles (PBE-GGA) data for CaH3Au after structural relaxation, as listed in Alexandria via LeMat-Bulk.

```
CaH3Au
1.0
4.0489 0.0000 0.0000
0.0000 4.0489 0.0000
0.0000 0.0000 4.0489
Ca H Au
1 3 1
Cartesian
0.0000 0.0000 0.0000
0.0000 0.0000 2.0245
0.0000 2.0245 0.0000
2.0245 0.0000 0.0000
2.0245 2.0245 2.0245
```

Summary:
Size of the total moment   0.00 μB/f.u.
Fermi-level density of states   0.12 states/eV per atom
Total DFT energy (no corrections)   -13.365 eV per cell

=====

16.
First-principles (PBE-GGA) data for Ho6CdCo2 after structural relaxation, as listed in Alexandria via LeMat-Bulk.

```
Ho6CdCo2
1.0
-4.6504 4.7938 4.9728
4.6504 -4.7938 4.9728
4.6504 4.7938 -4.9728
Ho Cd Co
12 2 4
Cartesian
4.6504 2.7782 -2.7164
2.7056 1.7924 0.0000
6.5953 1.7924 0.0000
1.8421 4.7938 -1.8426
2.8083 0.0000 3.1302
0.0000 2.0157 2.2565
4.6504 2.7782 2.7164
1.8421 4.7938 1.8426
2.8083 0.0000 6.8155
-1.9448 3.0014 4.9728
1.9448 3.0014 4.9728
0.0000 2.0157 7.6892
0.0000 0.0000 0.0000
0.0000 0.0000 4.9728
4.6504 0.0000 1.1200
0.0000 3.6312 0.0000
0.0000 5.9564 0.0000
0.0000 4.7938 3.8528
```

Summary:
Size of the total moment   0.00 μB/f.u.
Fermi-level density of states   1.14 states/eV per atom
Total DFT energy (no corrections)   -89.141 eV per cell
Energy of formation from the pure elements   -0.22 eV per atom

=====

17.
First-principles (PBE-GGA) data for InTe after structural relaxation, as listed in Alexandria via LeMat-Bulk.

```
InTe
1.0
-6.2699 6.2699 2.1296
6.2699 -6.2699 2.1296
6.2699 6.2699 -2.1296
In Te
4 4
Cartesian
8.5857 2.1441 0.0000
2.1441 3.9540 0.0000
4.1258 2.3159 2.1296
-2.3159 4.1258 2.1296
5.8982 3.1628 0.0000
3.1071 -0.3717 2.1296
3.1628 6.6416 0.0000
0.3717 3.1071 2.1296
```

Summary:
Size of the total moment   0.00 μB/f.u.
Fermi-level density of states   0.35 states/eV per atom
Energy relative to the elements, uncorrected   -0.3 eV/f.u.
Total DFT energy (no corrections)   -24.618 eV per cell